(1)
DFT (PBE) results for a relaxed Dy6In3Au crystal.

```
20
Lattice="-3.302 3.181 2.585 0.375 -5.618 7.391 8.452 7.940 1.025" Properties=species:S:1:pos:R:3 pbc="T T T"
Dy 0.079 -1.125 4.163
Dy 5.447 6.628 6.838
Dy 0.602 1.330 1.811
Dy 4.924 4.173 9.191
Dy 5.083 2.356 6.272
Dy 0.443 3.147 4.730
Dy 3.456 3.434 2.868
Dy 2.069 2.070 8.133
Dy 2.199 -1.452 7.274
Dy 3.326 6.955 3.727
Dy 6.580 7.152 2.283
Dy -1.055 -1.648 8.718
In 2.576 0.857 4.914
In 2.950 4.646 6.088
In 5.924 4.853 4.275
In -0.399 0.651 6.727
In 7.669 4.143 7.376
In -2.144 1.360 3.625
Au 4.692 0.295 8.308
Au 0.834 5.208 2.694
```

---

(2)
DFT (PBE) results for a relaxed Dy11In9Au4 crystal.

```
24
Lattice="-1.388 2.818 2.001 -3.643 6.179 -11.227 -9.460 -8.063 4.795" Properties=species:S:1:pos:R:3 pbc="T T T"
Dy -10.961 -3.891 -2.122
Dy -2.141 2.007 -4.311
Dy -8.953 1.027 -7.654
Dy -4.150 -2.911 1.222
Dy -5.793 0.914 -5.304
Dy -7.310 -2.799 -1.128
Dy -4.578 3.889 -8.652
Dy -8.525 -5.774 2.220
Dy 0.000 0.000 0.000
Dy -9.134 -1.314 -4.484
Dy -3.969 -0.571 -1.948
In -4.467 4.075 -5.370
In -10.024 -3.142 0.939
In -7.251 -2.743 2.300
In -7.239 3.676 -6.731
In -12.385 -1.252 -3.360
In -2.106 2.185 -1.071
In -11.535 0.829 -5.700
In -2.955 0.104 1.269
In -7.245 0.467 -2.216
Au -9.812 -1.244 -1.586
Au -4.678 2.178 -2.845
Au -8.648 1.606 -4.794
Au -5.842 -0.673 0.363
```

---

Calculated formation energy, respectively: -4.32, -15.10 eV/f.u..
N(E_F), respectively: 1.006, 0.586 states/eV per atom.